Record 1
A plane-wave DFT calculation with PBEsol was carried out for a geometry-optimized Zr4FeCo structure.

The structure belongs to space group I422 (No. 97); the cell edges are 6.199, 6.199 and 5.559 Å and the angles 90.00°, 90.00° and 90.00°. The asymmetric unit holds Zr at (0.177, 0.323, 0.250), Fe at (0.000, 0.000, 0.000) and Co at (0.000, 0.000, 0.500).

The calculation puts the magnetic moment at 0.000 μB per atom. The formation energy comes out at -22 kJ per mole of atoms. As for the energy: -108.8 eV per cell.

Record 2
A plane-wave DFT calculation with PBEsol was carried out for a geometry-optimized ZrFeCo2 structure.

The structure belongs to space group P2/m (No. 10); the cell edges are 2.706, 3.790 and 5.263 Å and the angles 90.00°, 103.64° and 90.00°. The asymmetric unit holds Zr at (0.000, 0.000, 0.000), Fe at (0.000, 0.000, 0.500) and Co at (0.418, 0.500, 0.709).

The calculation puts the magnetic moment at 1.117 μB per atom. The formation energy comes out at 3 kJ per mole of atoms. As for the energy: -33.4 eV per cell.

Record 3
A plane-wave DFT calculation with PBEsol was carried out for a geometry-optimized GaCo3 structure.

The structure belongs to space group I4/mmm (No. 139); the cell edges are 3.614, 3.614 and 6.704 Å and the angles 90.00°, 90.00° and 90.00°. The asymmetric unit holds Ga at (0.000, 0.000, 0.000), Co at (0.000, 0.000, 0.500) and Co at (0.000, 0.500, 0.250).

The calculation puts the magnetic moment at 0.906 μB per atom. The formation energy comes out at -11 kJ per mole of atoms. As for the energy: -54.0 eV per cell.